Entry 1:
! B3CCl (PBE-GGA, relaxed); values from VASP
&SYSTEM
  ibrav = 0, nat = 5, ntyp = 3
/
ATOMIC_SPECIES
B 10.81 B.upf
C 12.01 C.upf
Cl 35.45 Cl.upf
CELL_PARAMETERS angstrom
3.723 0.000 0.000
0.000 3.723 0.000
0.000 0.000 3.723
ATOMIC_POSITIONS crystal
B 0.000 0.000 0.500
B 0.000 0.500 0.000
B 0.500 0.000 0.000
C 0.500 0.500 0.500
Cl 0.000 0.000 0.000
! Offset from the most stable computed form, meV per atom: 1332
! VASP energy, eV/atom: -2.793
! Total magnetic moment, μB/f.u.: 0.00
! DOS at the Fermi energy, states/eV per cell: 2.64



Entry 2:
! BCCl3 (PBE-GGA, relaxed); values from VASP
&SYSTEM
  ibrav = 0, nat = 5, ntyp = 3
/
ATOMIC_SPECIES
B 10.81 B.upf
C 12.01 C.upf
Cl 35.45 Cl.upf
CELL_PARAMETERS angstrom
4.449 0.000 0.000
0.000 4.449 0.000
0.000 0.000 4.449
ATOMIC_POSITIONS crystal
B 0.000 0.000 0.000
C 0.500 0.500 0.500
Cl 0.000 0.500 0.500
Cl 0.500 0.000 0.500
Cl 0.500 0.500 0.000
! Offset from the most stable computed form, meV per atom: 0
! VASP energy, eV/atom: -2.665
! Total magnetic moment, μB/f.u.: 0.00
! DOS at the Fermi energy, states/eV per cell: 0.00



Entry 3:
! BC3Cl (PBE-GGA, relaxed); values from VASP
&SYSTEM
  ibrav = 0, nat = 5, ntyp = 3
/
ATOMIC_SPECIES
B 10.81 B.upf
C 12.01 C.upf
Cl 35.45 Cl.upf
CELL_PARAMETERS angstrom
3.583 0.000 0.000
0.000 3.583 0.000
0.000 0.000 3.583
ATOMIC_POSITIONS crystal
B 0.000 0.000 0.000
C 0.000 0.500 0.500
C 0.500 0.000 0.500
C 0.500 0.500 0.000
Cl 0.500 0.500 0.500
! Offset from the most stable computed form, meV per atom: 1365
! VASP energy, eV/atom: -3.042
! Total magnetic moment, μB/f.u.: 0.00
! DOS at the Fermi energy, states/eV per cell: 3.27



Entry 4:
! BCCl (PBE-GGA, relaxed); values from VASP
&SYSTEM
  ibrav = 0, nat = 12, ntyp = 3
/
ATOMIC_SPECIES
B 10.81 B.upf
C 12.01 C.upf
Cl 35.45 Cl.upf
CELL_PARAMETERS angstrom
9.380 0.000 0.000
0.000 2.797 0.000
0.000 0.000 8.065
ATOMIC_POSITIONS crystal
B 0.106 0.250 0.062
B 0.394 0.750 0.562
B 0.606 0.250 0.438
B 0.894 0.750 0.938
C 0.036 0.750 0.088
C 0.464 0.250 0.588
C 0.536 0.750 0.412
C 0.964 0.250 0.912
Cl 0.201 0.750 0.545
Cl 0.299 0.250 0.045
Cl 0.701 0.750 0.955
Cl 0.799 0.250 0.455
! VASP energy, eV/atom: -5.400
! Total magnetic moment, μB/f.u.: 0.20
! DOS at the Fermi energy, states/eV per cell: 2.16



Entry 5:
! BC2Cl (PBE-GGA, relaxed); values from VASP
&SYSTEM
  ibrav = 0, nat = 4, ntyp = 3
/
ATOMIC_SPECIES
B 10.81 B.upf
C 12.01 C.upf
Cl 35.45 Cl.upf
CELL_PARAMETERS angstrom
0.000 2.681 2.681
2.681 0.000 2.681
2.681 2.681 0.000
ATOMIC_POSITIONS crystal
B 0.000 0.000 0.000
C 0.250 0.250 0.250
C 0.750 0.750 0.750
Cl 0.500 0.500 0.500
! Offset from the most stable computed form, meV per atom: 2115
! VASP energy, eV/atom: -3.175
! Total magnetic moment, μB/f.u.: 0.00
! DOS at the Fermi energy, states/eV per cell: 2.01



Entry 6:
! BC4Cl2 (PBE-GGA, relaxed); values from VASP
&SYSTEM
  ibrav = 0, nat = 7, ntyp = 3
/
ATOMIC_SPECIES
B 10.81 B.upf
C 12.01 C.upf
Cl 35.45 Cl.upf
CELL_PARAMETERS angstrom
-1.611 1.611 9.116
1.611 -1.611 9.116
1.611 1.611 -9.116
ATOMIC_POSITIONS crystal
B 0.000 0.000 0.000
C 0.000 0.500 0.500
C 0.102 0.102 0.000
C 0.500 0.000 0.500
C 0.898 0.898 0.000
Cl 0.350 0.350 0.000
Cl 0.650 0.650 0.000
! VASP energy, eV/atom: -4.265
! Total magnetic moment, μB/f.u.: 0.00
! DOS at the Fermi energy, states/eV per cell: 2.82



Entry 7:
! BC2Cl (PBE-GGA, relaxed); values from VASP
&SYSTEM
  ibrav = 0, nat = 8, ntyp = 3
/
ATOMIC_SPECIES
B 10.81 B.upf
C 12.01 C.upf
Cl 35.45 Cl.upf
CELL_PARAMETERS angstrom
-2.280 2.280 3.979
2.280 -2.280 3.979
2.280 2.280 -3.979
ATOMIC_POSITIONS crystal
B 0.000 0.000 0.000
B 0.750 0.250 0.500
C 0.375 0.238 0.363
C 0.762 0.125 0.137
C 0.875 0.012 0.637
C 0.988 0.625 0.863
Cl 0.250 0.750 0.500
Cl 0.500 0.500 0.000
! Offset from the most stable computed form, meV per atom: 0
! VASP energy, eV/atom: -5.290
! Total magnetic moment, μB/f.u.: 0.00
! DOS at the Fermi energy, states/eV per cell: 3.44



Entry 8:
! Cs2BCCl6 (PBE-GGA, relaxed); values from VASP
&SYSTEM
  ibrav = 0, nat = 10, ntyp = 4
/
ATOMIC_SPECIES
Cs 132.91 Cs.upf
B 10.81 B.upf
C 12.01 C.upf
Cl 35.45 Cl.upf
CELL_PARAMETERS angstrom
-3.638 3.638 5.354
3.638 -3.638 5.354
3.638 3.638 -5.354
ATOMIC_POSITIONS crystal
Cs 0.250 0.750 0.500
Cs 0.750 0.250 0.500
B 0.000 0.000 0.000
C 0.500 0.500 0.000
Cl 0.194 0.194 0.388
Cl 0.194 0.806 0.000
Cl 0.296 0.296 0.000
Cl 0.704 0.704 0.000
Cl 0.806 0.194 0.000
Cl 0.806 0.806 0.612
! VASP energy, eV/atom: -3.206
! Total magnetic moment, μB/f.u.: 1.00
! DOS at the Fermi energy, states/eV per cell: 4.83



Entry 9:
! GaBC2Cl (PBE-GGA, relaxed); values from VASP
&SYSTEM
  ibrav = 0, nat = 5, ntyp = 4
/
ATOMIC_SPECIES
Ga 69.72 Ga.upf
B 10.81 B.upf
C 12.01 C.upf
Cl 35.45 Cl.upf
CELL_PARAMETERS angstrom
4.021 0.000 0.000
0.000 4.021 0.000
0.000 0.000 3.691
ATOMIC_POSITIONS crystal
Ga 0.000 0.000 0.000
B 0.500 0.500 0.000
C 0.000 0.500 0.500
C 0.500 0.000 0.500
Cl 0.500 0.500 0.500
! VASP energy, eV/atom: -3.059
! Total magnetic moment, μB/f.u.: 0.00
! DOS at the Fermi energy, states/eV per cell: 2.98



Entry 10:
! GeBCCl2 (PBE-GGA, relaxed); values from VASP
&SYSTEM
  ibrav = 0, nat = 5, ntyp = 4
/
ATOMIC_SPECIES
Ge 72.64 Ge.upf
B 10.81 B.upf
C 12.01 C.upf
Cl 35.45 Cl.upf
CELL_PARAMETERS angstrom
5.228 0.000 0.000
0.000 5.228 0.000
0.000 0.000 3.622
ATOMIC_POSITIONS crystal
Ge 0.000 0.000 0.000
B 0.500 0.500 0.500
C 0.000 0.000 0.500
Cl 0.000 0.500 0.000
Cl 0.500 0.000 0.000
! VASP energy, eV/atom: -3.291
! Total magnetic moment, μB/f.u.: 1.10
! DOS at the Fermi energy, states/eV per cell: 2.00



Entry 11:
! SiBH6C2NCl2 (PBE-GGA, relaxed); values from VASP
&SYSTEM
  ibrav = 0, nat = 78, ntyp = 6
/
ATOMIC_SPECIES
Si 28.09 Si.upf
B 10.81 B.upf
H 1.01 H.upf
C 12.01 C.upf
N 14.01 N.upf
Cl 35.45 Cl.upf
CELL_PARAMETERS angstrom
8.805 5.084 4.582
-8.805 5.084 4.582
0.000 -10.167 4.582
ATOMIC_POSITIONS crystal
Si 0.056 0.810 0.634
Si 0.134 0.310 0.556
Si 0.310 0.556 0.134
Si 0.556 0.134 0.310
Si 0.634 0.056 0.810
Si 0.810 0.634 0.056
B 0.050 0.955 0.884
B 0.384 0.455 0.550
B 0.455 0.550 0.384
B 0.550 0.384 0.455
B 0.884 0.050 0.955
B 0.955 0.884 0.050
H 0.006 0.419 0.434
H 0.033 0.773 0.175
H 0.077 0.328 0.334
H 0.093 0.819 0.976
H 0.175 0.033 0.773
H 0.228 0.922 0.844
H 0.245 0.366 0.935
H 0.273 0.533 0.675
H 0.319 0.593 0.476
H 0.328 0.334 0.077
H 0.334 0.077 0.328
H 0.344 0.422 0.728
H 0.366 0.935 0.245
H 0.419 0.434 0.006
H 0.422 0.728 0.344
H 0.434 0.006 0.419
H 0.435 0.866 0.745
H 0.476 0.319 0.593
H 0.506 0.934 0.919
H 0.533 0.675 0.273
H 0.577 0.834 0.828
H 0.593 0.476 0.319
H 0.675 0.273 0.533
H 0.728 0.344 0.422
H 0.745 0.435 0.866
H 0.773 0.175 0.033
H 0.819 0.976 0.093
H 0.828 0.577 0.834
H 0.834 0.828 0.577
H 0.844 0.228 0.922
H 0.866 0.745 0.435
H 0.919 0.506 0.934
H 0.922 0.844 0.228
H 0.934 0.919 0.506
H 0.935 0.245 0.366
H 0.976 0.093 0.819
C 0.027 0.327 0.408
C 0.141 0.943 0.795
C 0.295 0.443 0.641
C 0.327 0.408 0.027
C 0.408 0.027 0.327
C 0.443 0.641 0.295
C 0.527 0.908 0.827
C 0.641 0.295 0.443
C 0.795 0.141 0.943
C 0.827 0.527 0.908
C 0.908 0.827 0.527
C 0.943 0.795 0.141
N 0.039 0.880 0.971
N 0.380 0.539 0.471
N 0.471 0.380 0.539
N 0.539 0.471 0.380
N 0.880 0.971 0.039
N 0.971 0.039 0.880
Cl 0.002 0.631 0.665
Cl 0.030 0.298 0.687
Cl 0.131 0.502 0.165
Cl 0.165 0.131 0.502
Cl 0.187 0.798 0.530
Cl 0.298 0.687 0.030
Cl 0.502 0.165 0.131
Cl 0.530 0.187 0.798
Cl 0.631 0.665 0.002
Cl 0.665 0.002 0.631
Cl 0.687 0.030 0.298
Cl 0.798 0.530 0.187
! VASP energy, eV/atom: -5.405
! Total magnetic moment, μB/f.u.: 0.03
! DOS at the Fermi energy, states/eV per cell: 0.00



Entry 12:
! Sr3BCNCl2 (PBE-GGA, relaxed); values from VASP
&SYSTEM
  ibrav = 0, nat = 32, ntyp = 5
/
ATOMIC_SPECIES
Sr 87.62 Sr.upf
B 10.81 B.upf
C 12.01 C.upf
N 14.01 N.upf
Cl 35.45 Cl.upf
CELL_PARAMETERS angstrom
14.811 0.000 0.000
0.000 4.097 0.000
0.000 0.000 11.698
ATOMIC_POSITIONS crystal
Sr 0.109 0.250 0.135
Sr 0.141 0.750 0.437
Sr 0.179 0.750 0.801
Sr 0.321 0.250 0.301
Sr 0.359 0.250 0.937
Sr 0.391 0.750 0.635
Sr 0.609 0.250 0.365
Sr 0.641 0.750 0.063
Sr 0.679 0.750 0.699
Sr 0.821 0.250 0.199
Sr 0.859 0.250 0.563
Sr 0.891 0.750 0.865
B 0.243 0.750 0.107
B 0.257 0.250 0.607
B 0.743 0.750 0.393
B 0.757 0.250 0.893
C 0.212 0.750 0.224
C 0.288 0.250 0.724
C 0.712 0.750 0.276
C 0.788 0.250 0.776
N 0.239 0.250 0.492
N 0.261 0.750 0.992
N 0.739 0.250 0.008
N 0.761 0.750 0.508
Cl 0.004 0.750 0.640
Cl 0.047 0.250 0.892
Cl 0.453 0.750 0.392
Cl 0.496 0.250 0.140
Cl 0.504 0.750 0.860
Cl 0.547 0.250 0.608
Cl 0.953 0.750 0.108
Cl 0.996 0.250 0.360
! VASP energy, eV/atom: -5.449
! Total magnetic moment, μB/f.u.: 0.00
! DOS at the Fermi energy, states/eV per cell: 0.00



Q: Look up the total magnetic moment of the eleventh one.
A: 0.03 μB/f.u.